1.
DFT (PBE-GGA) results for crystalline Ni2TePdW at its relaxed geometry.

Cell lengths 4.5458, 4.5458, 5.1181 Å; angles 90.00, 90.00, 90.00 degrees
Space group P4/mmm (No. 123)
One atom of each set of equivalent atoms:
Ni1 0.0000 0.5000 0.0000 [2 per cell]
Te1 0.0000 0.0000 0.5000 [1 per cell]
Pd1 0.5000 0.5000 0.5000 [1 per cell]
W1 0.0000 0.0000 0.0000 [1 per cell]

Summary:
Formation energy without anion corrections in eV/atom: 1.17


2.
DFT (PBE-GGA) results for crystalline TmPuMo at its relaxed geometry.

Cell lengths 9.2356, 5.2550, 5.7431 Å; angles 90.00, 112.43, 90.00 degrees
Space group C2/m (No. 12)
One atom of each set of equivalent atoms:
Tm1 0.1288 0.0000 0.3297 [4 per cell]
Pu1 0.0339 0.5000 0.7216 [4 per cell]
Mo1 0.2474 0.0000 0.9001 [4 per cell]

Summary:
Energy of formation in eV/atom: 0.31


3.
DFT (PBE-GGA) results for crystalline Tb2Sm5TmTh at its relaxed geometry.

Cell lengths 5.6243, 20.4283, 10.5462 Å; angles 90.00, 90.00, 90.00 degrees
Space group Cmc2_1 (No. 36)
One atom of each set of equivalent atoms:
Tb1 0.0000 0.1128 0.0000 [4 per cell]
Tb2 0.0000 0.1146 0.5746 [4 per cell]
Sm1 0.0000 0.0140 0.2816 [4 per cell]
Sm2 0.0000 0.2759 0.5766 [4 per cell]
Sm3 0.0000 0.2944 0.9687 [4 per cell]
Sm4 0.0000 0.3853 0.2883 [4 per cell]
Sm5 0.0000 0.4820 0.0081 [4 per cell]
Tm1 0.0000 0.4053 0.7235 [4 per cell]
Th1 0.0000 0.1984 0.2756 [4 per cell]

Summary:
Energy of formation in eV/atom: 0.15


4.
DFT (PBE-GGA) results for crystalline Sm8Dy5In at its relaxed geometry.

Cell lengths 10.5023, 10.7676, 8.4162 Å; angles 90.00, 90.00, 90.00 degrees
Space group Imm2 (No. 44)
One atom of each set of equivalent atoms:
Sm1 0.0000 0.1600 0.0000 [4 per cell]
Sm2 0.1623 0.0000 0.3476 [4 per cell]
Sm3 0.1894 0.2281 0.6728 [8 per cell]
Dy1 0.0000 0.3136 0.3179 [4 per cell]
Dy2 0.0000 0.5000 0.8593 [2 per cell]
Dy3 0.1999 0.5000 0.4895 [4 per cell]
In1 0.0000 0.0000 0.6807 [2 per cell]

Summary:
Energy of formation in eV/atom: 0.13


5.
DFT (PBE-GGA) results for crystalline SrGa2Ge at its relaxed geometry.

Cell lengths 7.5218, 4.4241, 11.3504 Å; angles 90.00, 90.00, 90.00 degrees
Space group Pnma (No. 62)
One atom of each set of equivalent atoms:
Sr1 0.1340 0.2500 0.1341 [4 per cell]
Ga1 0.0346 0.2500 0.6456 [4 per cell]
Ga2 0.1777 0.2500 0.8516 [4 per cell]
Ge1 0.1560 0.2500 0.4274 [4 per cell]

Summary:
Energy of formation in eV/atom: -0.39


6.
DFT (PBE-GGA) results for crystalline Cu2OsPb at its relaxed geometry.

Cell lengths 3.9065, 3.9065, 18.6154 Å; angles 90.00, 90.00, 90.00 degrees
Space group I-42d (No. 122)
One atom of each set of equivalent atoms:
Cu1 0.1907 0.2500 0.1250 [8 per cell]
Os1 0.0000 0.0000 0.0000 [4 per cell]
Pb1 0.0000 0.0000 0.5000 [4 per cell]

Summary:
Energy of formation in eV/atom: 0.86


Number 1: DOS(E_F) 5.2 states/eV/f.u.. Number 2: DOS(E_F) 3.8 states/eV/f.u.. Number 3: DOS(E_F) 14.3 states/eV/f.u.. Number 4: DOS(E_F) 17.7 states/eV/f.u.. Number 5: DOS(E_F) 1.2 states/eV/f.u.. Number 6: DOS(E_F) 3.4 states/eV/f.u..